Record 1
A plane-wave DFT calculation with GGA-PBEsol was carried out for Ga2Ge4Pb3O14 after structural relaxation.

Geometry as POSCAR:
```
Ga2Ge4Pb3O14
1.0
8.397 0.000 0.000
-4.199 7.272 0.000
0.000 0.000 4.955
Ga Ge Pb O
2 4 3 14
direct
0.333 0.667 0.007
0.667 0.333 0.993
0.000 0.000 0.500
0.000 0.243 0.000
0.243 0.000 0.000
0.757 0.757 0.000
0.000 0.571 0.500
0.429 0.429 0.500
0.571 0.000 0.500
0.087 0.879 0.733
0.121 0.208 0.733
0.159 0.448 0.169
0.208 0.121 0.267
0.290 0.841 0.169
0.333 0.667 0.648
0.448 0.159 0.831
0.552 0.710 0.169
0.667 0.333 0.352
0.710 0.552 0.831
0.792 0.913 0.733
0.841 0.290 0.831
0.879 0.087 0.267
0.913 0.792 0.267
```

crystal system	trigonal
final energy	-6.473	eV per atom
D(E_F)	0.000	states/eV per atom
formation energy from raw total energies	-1607	meV per atom
total magnetization	0.00	μB per atom

=====

Record 2
A plane-wave DFT calculation with GGA-PBEsol was carried out for Rb2Ga2Ge3O10 after structural relaxation.

Geometry as POSCAR:
```
Rb2Ga2Ge3O10
1.0
8.987 -3.339 0.000
8.987 3.339 0.000
-8.959 0.000 9.155
Rb Ga Ge O
4 4 6 20
direct
0.001 0.499 0.880
0.134 0.134 0.376
0.501 0.999 0.120
0.866 0.866 0.624
0.127 0.608 0.306
0.392 0.873 0.694
0.430 0.416 0.799
0.584 0.570 0.201
0.127 0.873 0.000
0.436 0.433 0.568
0.567 0.564 0.432
0.622 0.122 0.952
0.878 0.378 0.048
0.880 0.120 0.500
0.017 0.483 0.108
0.046 0.079 0.962
0.129 0.106 0.617
0.163 0.641 0.840
0.279 0.684 0.333
0.316 0.721 0.667
0.327 0.378 0.380
0.359 0.837 0.160
0.374 0.342 0.607
0.488 0.384 0.077
0.517 0.983 0.892
0.577 0.144 0.806
0.616 0.512 0.923
0.622 0.673 0.620
0.658 0.626 0.393
0.735 0.264 0.382
0.736 0.265 0.618
0.856 0.423 0.194
0.894 0.871 0.383
0.921 0.954 0.038
```

crystal system	monoclinic
final energy	-6.318	eV per atom
D(E_F)	0.000	states/eV per atom
formation energy from raw total energies	-1845	meV per atom
total magnetization	0.00	μB per atom

=====

Record 3
A plane-wave DFT calculation with GGA-PBEsol was carried out for SrGa2Ge2O8 after structural relaxation.

Geometry as POSCAR:
```
SrGa2Ge2O8
1.0
8.571 0.000 0.000
0.000 9.685 0.000
-0.091 0.000 9.218
Sr Ga Ge O
4 8 8 32
direct
0.249 0.087 0.115
0.249 0.413 0.615
0.751 0.587 0.385
0.751 0.913 0.885
0.068 0.693 0.054
0.068 0.807 0.554
0.434 0.076 0.734
0.434 0.424 0.234
0.566 0.576 0.766
0.566 0.924 0.266
0.932 0.193 0.446
0.932 0.307 0.946
0.062 0.080 0.743
0.062 0.420 0.243
0.440 0.699 0.058
0.440 0.801 0.558
0.560 0.199 0.442
0.560 0.301 0.942
0.938 0.580 0.757
0.938 0.920 0.257
0.019 0.080 0.307
0.019 0.420 0.807
0.067 0.626 0.617
0.067 0.874 0.117
0.072 0.198 0.600
0.072 0.302 0.100
0.246 0.075 0.831
0.246 0.425 0.331
0.260 0.631 0.004
0.260 0.869 0.504
0.425 0.200 0.585
0.425 0.300 0.085
0.430 0.629 0.618
0.430 0.871 0.118
0.478 0.092 0.305
0.478 0.408 0.805
0.522 0.592 0.195
0.522 0.908 0.695
0.570 0.129 0.882
0.570 0.371 0.382
0.575 0.700 0.915
0.575 0.800 0.415
0.740 0.131 0.496
0.740 0.369 0.996
0.754 0.575 0.669
0.754 0.925 0.169
0.928 0.698 0.900
0.928 0.802 0.400
0.933 0.126 0.883
0.933 0.374 0.383
0.981 0.580 0.193
0.981 0.920 0.693
```

crystal system	monoclinic
final energy	-6.683	eV per atom
D(E_F)	0.000	states/eV per atom
formation energy from raw total energies	-2038	meV per atom
total magnetization	0.00	μB per atom

=====

Record 4
A plane-wave DFT calculation with GGA-PBEsol was carried out for Zr2GaGeO after structural relaxation.

Geometry as POSCAR:
```
Zr2GaGeO
1.0
4.321 0.000 0.000
0.000 4.321 0.000
0.000 0.000 4.504
Zr Ga Ge O
2 1 1 1
direct
0.000 0.500 0.000
0.500 0.000 0.000
0.000 0.000 0.500
0.500 0.500 0.500
0.500 0.500 0.000
```

crystal system	tetragonal
final energy	-7.249	eV per atom
D(E_F)	0.741	states/eV per atom
formation energy from raw total energies	-908	meV per atom
total magnetization	0.00	μB per atom